No. 1
A plane-wave DFT calculation with PBE-GGA was carried out for a relaxed ScIrS2N crystal.

The space group is P4/mmm (No. 123) and the conventional cell measures 4.8626, 4.8626 and 3.6659 Å, with angles of 90.00, 90.00 and 90.00 degrees. The asymmetric unit holds Sc at (0.0000, 0.0000, 0.0000), Ir at (0.5000, 0.5000, 0.5000), S at (0.0000, 0.5000, 0.5000) and N at (0.5000, 0.5000, 0.0000).

For the calculated total energy, the calculation gives -6.567 eV per atom. The relative energy among the computed polymorphs comes out at 0 meV per atom. For the formation energy from raw total energies, the calculation gives -212 meV per atom.

=====

No. 2
A plane-wave DFT calculation with PBE-GGA was carried out for a relaxed ScIrS2N crystal.

The space group is P4/mmm (No. 123) and the conventional cell measures 4.8683, 4.8683 and 3.9322 Å, with angles of 90.00, 90.00 and 90.00 degrees. The asymmetric unit holds Sc at (0.0000, 0.0000, 0.0000), Ir at (0.5000, 0.5000, 0.5000), S at (0.0000, 0.5000, 0.0000) and N at (0.0000, 0.0000, 0.5000).

For the calculated total energy, the calculation gives -5.503 eV per atom. The relative energy among the computed polymorphs comes out at 1064 meV per atom. For the formation energy from raw total energies, the calculation gives 851 meV per atom.

=====

No. 3
A plane-wave DFT calculation with PBE-GGA was carried out for a relaxed IrSe2SN crystal.

The space group is P4/mmm (No. 123) and the conventional cell measures 5.0933, 5.0933 and 3.6492 Å, with angles of 90.00, 90.00 and 90.00 degrees. The asymmetric unit holds Ir at (0.0000, 0.0000, 0.0000), Se at (0.0000, 0.5000, 0.0000), S at (0.5000, 0.5000, 0.5000) and N at (0.0000, 0.0000, 0.5000).

For the calculated total energy, the calculation gives -4.959 eV per atom. The relative energy among the computed polymorphs comes out at 0 meV per atom. For the formation energy from raw total energies, the calculation gives 698 meV per atom.

=====

No. 4
A plane-wave DFT calculation with PBE-GGA was carried out for a relaxed IrSeS2N crystal.

The space group is P4/mmm (No. 123) and the conventional cell measures 4.7867, 4.7867 and 3.4792 Å, with angles of 90.00, 90.00 and 90.00 degrees. The asymmetric unit holds Ir at (0.0000, 0.0000, 0.0000), Se at (0.5000, 0.5000, 0.5000), S at (0.0000, 0.5000, 0.5000) and N at (0.5000, 0.5000, 0.0000).

For the calculated total energy, the calculation gives -4.171 eV per atom. The relative energy among the computed polymorphs comes out at 958 meV per atom. For the formation energy from raw total energies, the calculation gives 1614 meV per atom.

=====

No. 5
A plane-wave DFT calculation with PBE-GGA was carried out for a relaxed IrSeS2N crystal.

The space group is P4/mmm (No. 123) and the conventional cell measures 4.8588, 4.8588 and 3.6631 Å, with angles of 90.00, 90.00 and 90.00 degrees. The asymmetric unit holds Ir at (0.0000, 0.0000, 0.0000), Se at (0.5000, 0.5000, 0.5000), S at (0.0000, 0.5000, 0.0000) and N at (0.0000, 0.0000, 0.5000).

For the calculated total energy, the calculation gives -5.130 eV per atom. The relative energy among the computed polymorphs comes out at 0 meV per atom. For the formation energy from raw total energies, the calculation gives 655 meV per atom.

=====

No. 6
A plane-wave DFT calculation with PBE-GGA was carried out for a relaxed IrSe2SN crystal.

The space group is P4/mmm (No. 123) and the conventional cell measures 4.9262, 4.9262 and 3.1885 Å, with angles of 90.00, 90.00 and 90.00 degrees. The asymmetric unit holds Ir at (0.0000, 0.0000, 0.0000), Se at (0.0000, 0.5000, 0.5000), S at (0.5000, 0.5000, 0.5000) and N at (0.5000, 0.5000, 0.0000).

For the calculated total energy, the calculation gives -4.488 eV per atom. The relative energy among the computed polymorphs comes out at 470 meV per atom. For the formation energy from raw total energies, the calculation gives 1168 meV per atom.

=====

No. 7
A plane-wave DFT calculation with PBE-GGA was carried out for a relaxed SnIrSN2 crystal.

The space group is P4/mmm (No. 123) and the conventional cell measures 3.8782, 3.8782 and 5.2245 Å, with angles of 90.00, 90.00 and 90.00 degrees. The asymmetric unit holds Sn at (0.0000, 0.0000, 0.0000), Ir at (0.5000, 0.5000, 0.5000), S at (0.5000, 0.5000, 0.0000) and N at (0.0000, 0.5000, 0.5000).

For the calculated total energy, the calculation gives -6.028 eV per atom. The relative energy among the computed polymorphs comes out at 0 meV per atom. For the formation energy from raw total energies, the calculation gives 701 meV per atom.

=====

No. 8
A plane-wave DFT calculation with PBE-GGA was carried out for a relaxed SnIrS2N crystal.

The space group is P4/mmm (No. 123) and the conventional cell measures 4.9617, 4.9617 and 3.6940 Å, with angles of 90.00, 90.00 and 90.00 degrees. The asymmetric unit holds Sn at (0.0000, 0.0000, 0.0000), Ir at (0.5000, 0.5000, 0.5000), S at (0.0000, 0.5000, 0.5000) and N at (0.5000, 0.5000, 0.0000).

For the calculated total energy, the calculation gives -5.691 eV per atom. The relative energy among the computed polymorphs comes out at 0 meV per atom. For the formation energy from raw total energies, the calculation gives 198 meV per atom.

=====

> What is the relative energy among the computed polymorphs in the eighth record?

0 meV per atom